Entry 1:
Material: HoAlPO
Method: DFT, PBE
State: optimized geometry

POSCAR file:
```
HoAlPO
1.0
-2.269 -0.835 -3.244
-0.676 -3.724 1.431
-7.555 3.096 4.487
Al Ho O P
2 2 2 2
Direct
0.500 0.000 0.057 Al
0.000 0.500 0.943 Al
0.000 0.000 0.500 Ho
0.500 0.500 0.500 Ho
0.000 0.000 0.000 O
0.500 0.500 0.000 O
0.500 0.000 0.305 P
0.000 0.500 0.695 P
```

Output
Energy above the most stable polymorph in this dataset   2.70 eV per formula unit
Total magnetization   0.00 μB/atom
Space-group type   P4/nmm, No. 129
Theoretical density   5.20 g/cm³
VASP energy   -5.73 eV per atom

***

Entry 2:
Material: TbErZn2Sn2
Method: DFT, PBE
State: optimized geometry

POSCAR file:
```
TbErZn2Sn2
1.0
4.501 0.000 0.000
-2.251 3.898 0.000
0.000 0.000 15.751
Er Sn Tb Zn
2 4 2 4
Direct
0.000 0.000 0.250 Er
0.000 0.000 0.750 Er
0.333 0.667 0.114 Sn
0.333 0.667 0.386 Sn
0.667 0.333 0.614 Sn
0.667 0.333 0.886 Sn
0.000 0.000 0.000 Tb
0.000 0.000 0.500 Tb
0.667 0.333 0.161 Zn
0.667 0.333 0.339 Zn
0.333 0.667 0.661 Zn
0.333 0.667 0.839 Zn
```

Output
Energy above the most stable polymorph in this dataset   0.00 eV per formula unit
Total magnetization   0.00 μB/atom
Space-group type   P6_3/mmc, No. 194
Theoretical density   8.34 g/cm³
VASP energy   -3.87 eV per atom

***

Entry 3:
Material: RbNaAgAs
Method: DFT, PBE
State: optimized geometry

POSCAR file:
```
RbNaAgAs
1.0
5.845 0.000 0.000
0.000 4.920 4.077
0.000 -4.920 4.077
Ag As Na Rb
2 2 2 2
Direct
0.250 0.486 0.486 Ag
0.750 0.486 0.486 Ag
0.500 0.224 0.224 As
0.000 0.742 0.742 As
0.000 0.996 0.338 Na
0.000 0.338 0.996 Na
0.500 0.689 0.039 Rb
0.500 0.039 0.689 Rb
```

Output
Energy above the most stable polymorph in this dataset   0.17 eV per formula unit
Space-group type   Amm2, No. 38
Theoretical density   4.13 g/cm³
VASP energy   -2.76 eV per atom

***

Entry 4:
Material: BeTlCuMo
Method: DFT, PBE
State: optimized geometry

POSCAR file:
```
BeTlCuMo
1.0
0.000 3.152 3.152
3.152 0.000 3.152
3.152 3.152 0.000
Be Cu Mo Tl
1 1 1 1
Direct
0.500 0.500 0.500 Be
0.750 0.750 0.750 Cu
0.250 0.250 0.250 Mo
0.000 0.000 0.000 Tl
```

Output
Energy above the most stable polymorph in this dataset   0.33 eV per formula unit
Total magnetization   0.37 μB/atom
Space-group type   F-43m, No. 216
Theoretical density   9.88 g/cm³
VASP energy   -4.40 eV per atom

***

Entry 5:
Material: PaNbPb
Method: DFT, PBE
State: optimized geometry

POSCAR file:
```
PaNbPb
1.0
-1.187 -4.834 -0.241
-4.774 -1.409 0.245
-2.275 -1.808 -4.049
Nb Pa Pb
1 1 1
Direct
0.250 0.250 0.250 Nb
0.000 0.000 0.000 Pa
0.750 0.750 0.750 Pb
```

Output
Energy above the most stable polymorph in this dataset   1.85 eV per formula unit
Total magnetization   0.39 μB/atom
Space-group type   F-43m, No. 216
Theoretical density   10.08 g/cm³
VASP energy   -6.56 eV per atom

***

Entry 6:
Material: MgNbSbTe
Method: DFT, PBE
State: optimized geometry

POSCAR file:
```
MgNbSbTe
1.0
0.000 3.583 3.583
3.583 0.000 3.583
3.583 3.583 0.000
Mg Nb Sb Te
1 1 1 1
Direct
0.750 0.750 0.750 Mg
0.000 0.000 0.000 Nb
0.250 0.250 0.250 Sb
0.500 0.500 0.500 Te
```

Output
Energy above the most stable polymorph in this dataset   1.83 eV per formula unit
Total magnetization   0.43 μB/atom
Space-group type   F-43m, No. 216
Theoretical density   6.62 g/cm³
VASP energy   -4.25 eV per atom

***

Entry 7:
Material: Hf2SnPt2Pb
Method: DFT, PBE
State: optimized geometry

POSCAR file:
```
Hf2SnPt2Pb
1.0
11.118 0.000 0.000
0.000 4.537 0.000
-3.708 0.000 10.487
Hf Pb Pt Sn
8 4 8 4
Direct
0.250 0.000 0.002 Hf
0.624 0.500 0.125 Hf
0.001 0.000 0.250 Hf
0.374 0.500 0.374 Hf
0.748 0.000 0.498 Hf
0.126 0.500 0.623 Hf
0.501 0.000 0.750 Hf
0.876 0.500 0.878 Hf
0.875 0.500 0.374 Pb
0.624 0.500 0.625 Pb
0.001 0.000 0.752 Pb
0.375 0.500 0.876 Pb
0.001 0.000 0.006 Pt
0.374 0.500 0.129 Pt
0.745 0.000 0.246 Pt
0.129 0.500 0.374 Pt
0.496 0.000 0.496 Pt
0.874 0.500 0.624 Pt
0.251 0.000 0.745 Pt
0.630 0.500 0.879 Pt
0.751 0.000 0.000 Sn
0.125 0.500 0.125 Sn
0.499 0.000 0.249 Sn
0.250 0.000 0.499 Sn
```

Output
Total magnetization   0.00 μB/atom
Space-group type   Pm, No. 6
Theoretical density   13.47 g/cm³
VASP energy   -7.45 eV per atom

***

Entry 8:
Material: PrNdPCl2
Method: DFT, PBE
State: optimized geometry

POSCAR file:
```
PrNdPCl2
1.0
4.121 0.000 0.000
-2.061 3.569 0.000
0.000 0.000 10.451
Cl Nd P Pr
2 1 1 1
Direct
0.333 0.667 0.314 Cl
0.000 0.000 0.684 Cl
0.000 0.000 0.155 Nd
0.667 0.333 0.002 P
0.333 0.667 0.845 Pr
```

Output
Total magnetization   0.00 μB/atom
Space-group type   P3m1, No. 156
Theoretical density   4.18 g/cm³
VASP energy   -5.68 eV per atom

***

Entry 9:
Material: Pm6GeTe5
Method: DFT, PBE
State: optimized geometry

POSCAR file:
```
Pm6GeTe5
1.0
3.850 -6.656 0.000
3.850 6.656 0.000
-2.557 0.000 7.274
Ge Pm Te
1 6 5
Direct
0.000 0.000 0.000 Ge
0.388 0.077 0.233 Pm
0.077 0.388 0.233 Pm
0.770 0.770 0.238 Pm
0.230 0.230 0.762 Pm
0.923 0.612 0.767 Pm
0.612 0.923 0.767 Pm
0.665 0.335 0.000 Te
0.335 0.665 0.000 Te
0.826 0.174 0.500 Te
0.500 0.500 0.500 Te
0.174 0.826 0.500 Te
```

Output
Total magnetization   0.00 μB/atom
Space-group type   C2/m, No. 12
Theoretical density   7.04 g/cm³
VASP energy   -5.46 eV per atom

***

Entry 10:
Material: Hf2ZrAl3NiIr2
Method: DFT, PBE
State: optimized geometry

POSCAR file:
```
Hf2ZrAl3NiIr2
1.0
-2.289 1.789 -1.867
-3.148 -6.079 -1.964
-2.138 3.402 5.880
Al Hf Ir Ni Zr
3 2 2 1 1
Direct
0.500 0.000 0.248 Al
0.500 0.751 0.751 Al
0.500 0.248 0.000 Al
0.000 0.597 0.000 Hf
0.000 0.000 0.597 Hf
0.500 0.670 0.332 Ir
0.500 0.332 0.670 Ir
0.000 0.998 0.998 Ni
0.000 0.404 0.404 Zr
```

Output
Total magnetization   0.00 μB/atom
Space-group type   Amm2, No. 38
Theoretical density   10.66 g/cm³
VASP energy   -7.84 eV per atom

***

Entry 11:
Material: AcAl4Ag8
Method: DFT, PBE
State: optimized geometry

POSCAR file:
```
AcAl4Ag8
1.0
-4.756 4.756 2.692
4.756 -4.756 2.692
4.756 4.756 -2.692
Ac Ag Al
1 8 4
Direct
0.000 0.000 0.000 Ac
0.722 0.500 0.222 Ag
0.500 0.722 0.222 Ag
0.348 0.000 0.348 Ag
0.000 0.348 0.348 Ag
0.652 0.000 0.652 Ag
0.000 0.652 0.652 Ag
0.500 0.278 0.778 Ag
0.278 0.500 0.778 Ag
0.500 0.000 0.000 Al
0.000 0.500 0.000 Al
0.000 0.000 0.500 Al
0.500 0.500 0.500 Al
```

Output
Total magnetization   0.00 μB/atom
Space-group type   I4/mmm, No. 139
Theoretical density   8.17 g/cm³
VASP energy   -3.42 eV per atom

***

Entry 12:
Material: PmSbNO
Method: DFT, PBE
State: optimized geometry

POSCAR file:
```
PmSbNO
1.0
3.948 0.000 0.000
0.000 6.444 0.000
0.000 0.000 6.466
N O Pm Sb
2 2 2 2
Direct
0.000 0.603 0.098 N
0.000 0.397 0.598 N
0.500 0.080 0.203 O
0.500 0.920 0.703 O
0.500 0.803 0.015 Pm
0.500 0.197 0.515 Pm
0.000 0.672 0.430 Sb
0.000 0.328 0.930 Sb
```

Output
Energy above the most stable polymorph in this dataset   0.00 eV per formula unit
Total magnetization   0.00 μB/atom
Space-group type   Pmc2_1, No. 26
Theoretical density   5.99 g/cm³
VASP energy   -6.69 eV per atom

***

Entry 13:
Material: FeHgSbOs
Method: DFT, PBE
State: optimized geometry

POSCAR file:
```
FeHgSbOs
1.0
0.708 0.289 4.523
-3.391 -1.007 2.921
0.215 -3.816 2.536
Fe Hg Os Sb
1 1 1 1
Direct
0.750 0.750 0.750 Fe
0.500 0.500 0.500 Hg
0.250 0.250 0.250 Os
0.000 0.000 0.000 Sb
```

Output
Energy above the most stable polymorph in this dataset   0.00 eV per formula unit
Total magnetization   0.57 μB/atom
Space-group type   F-43m, No. 216
Theoretical density   13.83 g/cm³
VASP energy   -5.31 eV per atom

***

Entry 14:
Material: ErMgAg
Method: DFT, PBE
State: optimized geometry

POSCAR file:
```
ErMgAg
1.0
3.317 -3.391 1.176
-1.163 -3.578 3.120
-0.511 -4.583 -1.618
Ag Er Mg
1 1 1
Direct
0.250 0.250 0.250 Ag
0.000 0.000 0.000 Er
0.750 0.750 0.750 Mg
```

Output
Total magnetization   0.00 μB/atom
Space-group type   F-43m, No. 216
Theoretical density   6.02 g/cm³
VASP energy   -2.58 eV per atom

***

Entry 15:
Material: HfCuTcSn
Method: DFT, PBE
State: optimized geometry

POSCAR file:
```
HfCuTcSn
1.0
2.030 -3.906 -1.449
-0.354 -3.870 2.525
-2.588 -3.530 -1.521
Cu Hf Sn Tc
1 1 1 1
Direct
0.750 0.750 0.750 Cu
0.250 0.250 0.250 Hf
0.000 0.000 0.000 Sn
0.500 0.500 0.500 Tc
```

Output
Energy above the most stable polymorph in this dataset   1.20 eV per formula unit
Total magnetization   0.01 μB/atom
Space-group type   F-43m, No. 216
Theoretical density   10.82 g/cm³
VASP energy   -6.82 eV per atom

***

Entry 16:
Material: Cu2TcGe
Method: DFT, PBE
State: optimized geometry

POSCAR file:
```
Cu2TcGe
1.0
0.000 2.983 2.983
2.983 0.000 2.983
2.983 2.983 0.000
Cu Ge Tc
2 1 1
Direct
0.000 0.000 0.000 Cu
0.750 0.750 0.750 Cu
0.500 0.500 0.500 Ge
0.250 0.250 0.250 Tc
```

Output
Total magnetization   0.00 μB/atom
Space-group type   F-43m, No. 216
Theoretical density   9.31 g/cm³
VASP energy   -5.48 eV per atom

***

Entry 17:
Material: CsFeNiS3
Method: DFT, PBE
State: optimized geometry

POSCAR file:
```
CsFeNiS3
1.0
-5.872 2.434 4.787
3.192 -4.503 -5.732
2.582 -6.235 6.336
Cs Fe Ni S
2 2 2 6
Direct
0.752 0.248 0.250 Cs
0.248 0.752 0.750 Cs
0.000 0.000 0.000 Fe
0.000 0.000 0.500 Fe
0.473 0.527 0.250 Ni
0.527 0.473 0.750 Ni
0.403 0.597 0.044 S
0.057 0.943 0.250 S
0.403 0.597 0.456 S
0.597 0.403 0.544 S
0.943 0.057 0.750 S
0.597 0.403 0.956 S
```

Output
Energy above the most stable polymorph in this dataset   0.22 eV per formula unit
Total magnetization   0.37 μB/atom
Space-group type   Cmcm, No. 63
Theoretical density   4.52 g/cm³
VASP energy   -5.02 eV per atom

***

Entry 18:
Material: TmScAl2Ir4
Method: DFT, PBE
State: optimized geometry

POSCAR file:
```
TmScAl2Ir4
1.0
-3.202 1.156 2.543
-0.209 -3.659 -2.150
3.874 -4.212 6.793
Al Ir Sc Tm
2 4 1 1
Direct
0.333 0.667 0.238 Al
0.333 0.667 0.762 Al
0.667 0.333 0.149 Ir
0.000 0.000 0.329 Ir
0.000 0.000 0.671 Ir
0.667 0.333 0.851 Ir
0.000 0.000 0.000 Sc
0.667 0.333 0.500 Tm
```

Output
Total magnetization   0.00 μB/atom
Space-group type   P-6m2, No. 187
Theoretical density   12.40 g/cm³
VASP energy   -7.47 eV per atom

***

Entry 19:
Material: La2TmNi9
Method: DFT, PBE
State: optimized geometry

POSCAR file:
```
La2TmNi9
1.0
0.731 8.360 2.535
2.606 5.608 6.213
5.352 6.586 2.198
La Ni Tm
2 9 1
Direct
0.138 0.138 0.138 La
0.862 0.862 0.862 La
0.579 0.579 0.080 Ni
0.333 0.333 0.333 Ni
0.920 0.421 0.421 Ni
0.421 0.920 0.421 Ni
0.500 0.500 0.500 Ni
0.579 0.080 0.579 Ni
0.080 0.579 0.579 Ni
0.667 0.667 0.667 Ni
0.421 0.421 0.920 Ni
0.000 0.000 0.000 Tm
```

Output
DFT formation energy   -4.3 eV per formula unit
Total magnetization   0.03 μB/atom
Space-group type   R-3m, No. 166
Theoretical density   9.16 g/cm³
VASP energy   -5.73 eV per atom

***

Entry 20:
Material: KZrAgTeSeS
Method: DFT, PBE
State: optimized geometry

POSCAR file:
```
KZrAgTeSeS
1.0
8.470 0.000 0.000
0.000 4.031 0.000
-3.617 0.000 9.462
Ag K S Se Te Zr
2 2 2 2 2 2
Direct
0.579 0.250 0.106 Ag
0.421 0.750 0.894 Ag
0.219 0.750 0.204 K
0.781 0.250 0.796 K
0.033 0.250 0.373 S
0.967 0.750 0.627 S
0.773 0.750 0.068 Se
0.227 0.250 0.932 Se
0.586 0.250 0.379 Te
0.414 0.750 0.621 Te
0.826 0.750 0.346 Zr
0.174 0.250 0.654 Zr
```

Output
Energy above the most stable polymorph in this dataset   0.00 eV per formula unit
Total magnetization   0.00 μB/atom
Space-group type   P2_1/m, No. 11
Theoretical density   4.90 g/cm³
VASP energy   -4.90 eV per atom

***

Entry 21:
Material: ZrAl2Co2
Method: DFT, PBE
State: optimized geometry

POSCAR file:
```
ZrAl2Co2
1.0
5.236 -2.196 0.848
1.049 -4.502 3.403
-3.504 1.676 -4.227
Al Co Zr
2 2 1
Direct
0.750 0.250 0.500 Al
0.250 0.750 0.500 Al
0.394 0.394 0.000 Co
0.606 0.606 0.000 Co
0.000 0.000 0.000 Zr
```

Output
Total magnetization   0.00 μB/atom
Space-group type   I4/mmm, No. 139
Theoretical density   5.88 g/cm³
VASP energy   -6.40 eV per atom

***

Entry 22:
Material: Tb5NiPb3
Method: DFT, PBE
State: optimized geometry

POSCAR file:
```
Tb5NiPb3
1.0
-5.010 2.094 -7.451
2.389 -8.753 1.637
-5.659 -0.880 3.557
Ni Pb Tb
2 6 10
Direct
0.000 0.000 0.000 Ni
0.000 0.000 0.500 Ni
0.601 0.000 0.250 Pb
0.000 0.601 0.250 Pb
0.399 0.399 0.250 Pb
0.399 0.000 0.750 Pb
0.000 0.399 0.750 Pb
0.601 0.601 0.750 Pb
0.667 0.333 0.000 Tb
0.333 0.667 0.000 Tb
0.761 0.761 0.250 Tb
0.239 0.000 0.250 Tb
0.000 0.239 0.250 Tb
0.667 0.333 0.500 Tb
0.333 0.667 0.500 Tb
0.239 0.239 0.750 Tb
0.761 0.000 0.750 Tb
0.000 0.761 0.750 Tb
```

Output
Total magnetization   0.01 μB/atom
Space-group type   P6_3/mcm, No. 193
Theoretical density   9.87 g/cm³
VASP energy   -4.96 eV per atom

***

Entry 23:
Material: Sc2Ge2Ir
Method: DFT, PBE
State: optimized geometry

POSCAR file:
```
Sc2Ge2Ir
1.0
-3.699 -7.229 -0.523
-4.635 -5.383 3.969
2.135 7.409 -2.600
Ge Ir Sc
2 1 2
Direct
0.750 0.250 0.500 Ge
0.250 0.750 0.500 Ge
0.000 0.000 0.000 Ir
0.402 0.402 0.000 Sc
0.598 0.598 0.000 Sc
```

Output
Total magnetization   0.00 μB/atom
Space-group type   I4/mmm, No. 139
Theoretical density   7.49 g/cm³
VASP energy   -6.55 eV per atom

***

Entry 24:
Material: SrTmAgSe3
Method: DFT, PBE
State: optimized geometry

POSCAR file:
```
SrTmAgSe3
1.0
7.942 0.000 0.000
0.000 4.120 0.000
-2.792 0.000 9.512
Ag Se Sr Tm
2 6 2 2
Direct
0.092 0.250 0.093 Ag
0.908 0.750 0.907 Ag
0.289 0.750 0.043 Se
0.066 0.250 0.351 Se
0.566 0.250 0.361 Se
0.434 0.750 0.639 Se
0.934 0.750 0.649 Se
0.711 0.250 0.957 Se
0.755 0.750 0.213 Sr
0.245 0.250 0.787 Sr
0.310 0.750 0.341 Tm
0.690 0.250 0.659 Tm
```

Output
Total magnetization   0.00 μB/atom
Space-group type   P2_1/m, No. 11
Theoretical density   6.42 g/cm³
VASP energy   -4.74 eV per atom